## NaTe2O2 (GGA-PBE)

Data for NaTe2O2 after structural relaxation.

Cell lengths 6.779, 6.779, 4.234 Å; angles 90.00, 90.00, 90.00 degrees
Atoms (fractional coordinates):
Na (0.000, 0.000, 0.000)
Na (0.500, 0.500, 0.000)
Te (0.154, 0.654, 0.500)
Te (0.654, 0.846, 0.500)
Te (0.846, 0.346, 0.500)
Te (0.346, 0.154, 0.500)
O (0.177, 0.677, 0.000)
O (0.677, 0.823, 0.000)
O (0.823, 0.323, 0.000)
O (0.323, 0.177, 0.000)

**Distance to the lowest polymorph of the same formula**: 0.0 kJ per mole of atoms
**Calculated volume**: 195 Å³ per cell
**Size of the total moment**: 0.000 μB per atom
**D(E_F)**: 1.53 states/eV/f.u.
**Space group**: No. 127
**DFT total energy**: -4.21 eV per atom

## VCrCo (GGA-PBE)

Data for VCrCo after structural relaxation.

Cell lengths 4.620, 4.620, 7.714 Å; angles 90.00, 90.00, 119.27 degrees
Atoms (fractional coordinates):
V (0.669, 0.331, 0.316)
V (0.340, 0.660, 0.191)
V (0.340, 0.660, 0.809)
V (0.669, 0.331, 0.684)
Cr (0.166, 0.834, 0.500)
Cr (0.345, 0.168, 0.000)
Cr (0.832, 0.655, 0.000)
Cr (0.829, 0.171, 0.000)
Co (0.000, 0.000, 0.255)
Co (0.000, 0.000, 0.745)
Co (0.651, 0.840, 0.500)
Co (0.160, 0.349, 0.500)

**Distance to the lowest polymorph of the same formula**: 4.0 kJ per mole of atoms
**Calculated volume**: 144 Å³ per cell
**Size of the total moment**: 0.000 μB per atom
**D(E_F)**: 3.94 states/eV/f.u.
**Space group**: No. 38
**DFT total energy**: -8.66 eV per atom